Record 1
A plane-wave DFT calculation with meta-GGA SCAN was carried out for a crystal of PrTa7O19 relaxed with PBEsol.

Calculated values
DOS at the Fermi energy, states/eV/f.u.: 0.0
E_form (uncorrected), eV/atom: -3.159
DFT total energy, hartree per atom: -0.97060

Cell: 6.2219 6.2219 20.0182 Å, 90.00 90.00 120.00°
Space group P-6c2 (No. 188)
Asymmetric unit:
Pr1 0.0000 0.0000 0.0000
Ta1 0.0285 0.3339 0.1560
Ta2 0.3333 0.6667 0.0000
O1 0.0000 0.0000 0.1308
O2 0.0424 0.2867 0.2500
O3 0.0978 0.3861 0.0571
O4 0.3333 0.6667 0.1689
O5 0.4187 0.0854 0.6535



Record 2
A plane-wave DFT calculation with meta-GGA SCAN was carried out for a crystal of PrTaTiO6 relaxed with PBEsol.

Calculated values
DOS at the Fermi energy, states/eV/f.u.: 0.0
E_form (uncorrected), eV/atom: -3.447
DFT total energy, hartree per atom: -0.79359

Cell: 10.970 5.365 7.500 Å, 90.00 90.00 90.00°
Space group Pna2_1 (No. 33)
Asymmetric unit:
Pr1 0.044 0.043 0.000
Ta1 0.144 0.540 0.256
Ti1 0.142 0.538 0.744
O1 0.025 0.271 0.713
O2 0.028 0.266 0.289
O3 0.122 0.658 0.503
O4 0.144 0.455 0.999
O5 0.208 0.871 0.809
O6 0.213 0.876 0.192



Record 3
A plane-wave DFT calculation with meta-GGA SCAN was carried out for a crystal of Pr2TeO6 relaxed with PBEsol.

Calculated values
DOS at the Fermi energy, states/eV/f.u.: 0.0
E_form (uncorrected), eV/atom: -2.726
DFT total energy, hartree per atom: -0.75878

Cell: 5.462 9.365 10.239 Å, 90.00 90.00 90.00°
Space group P2_12_12_1 (No. 19)
Asymmetric unit:
Pr1 0.027 0.104 0.040
Pr2 0.033 0.217 0.637
Te1 0.043 0.495 0.143
O1 0.066 0.851 0.479
O2 0.167 0.946 0.214
O3 0.179 0.637 0.258
O4 0.192 0.639 0.676
O5 0.221 0.111 0.436
O6 0.250 0.413 0.509



Record 4
A plane-wave DFT calculation with meta-GGA SCAN was carried out for a crystal of Pr2TiO5 relaxed with PBEsol.

Calculated values
DOS at the Fermi energy, states/eV/f.u.: 0.0
E_form (uncorrected), eV/atom: -3.638
DFT total energy, hartree per atom: -0.74851

Cell: 10.795 3.845 11.449 Å, 90.00 90.00 90.00°
Space group Pnma (No. 62)
Asymmetric unit:
Pr1 0.103 0.250 0.219
Pr2 0.137 0.250 0.557
Ti1 0.185 0.250 0.875
O1 0.009 0.750 0.603
O2 0.025 0.250 0.839
O3 0.223 0.250 0.035
O4 0.231 0.750 0.229
O5 0.238 0.750 0.878



Record 5
A plane-wave DFT calculation with meta-GGA SCAN was carried out for a crystal of Pr2Ti2O7 relaxed with PBEsol.

Calculated values
DOS at the Fermi energy, states/eV/f.u.: 0.0
E_form (uncorrected), eV/atom: -3.610
DFT total energy, hartree per atom: -0.67500

Cell: 7.681 5.484 13.053 Å, 90.00 98.54 90.00°
Space group P2_1 (No. 4)
Asymmetric unit:
Pr1 0.146 0.000 0.073
Pr2 0.229 0.596 0.409
Pr3 0.281 0.107 0.620
Pr4 0.350 0.569 0.882
Ti1 0.031 0.592 0.619
Ti2 0.073 0.068 0.820
Ti3 0.416 0.561 0.174
Ti4 0.472 0.094 0.379
O1 0.024 0.907 0.683
O2 0.041 0.333 0.518
O3 0.079 0.800 0.906
O4 0.116 0.393 0.727
O5 0.130 0.286 0.929
O6 0.174 0.658 0.197
O7 0.223 0.042 0.392
O8 0.273 0.678 0.592
O9 0.327 0.004 0.806
O10 0.375 0.278 0.111
O11 0.409 0.770 0.058
O12 0.434 0.411 0.318
O13 0.469 0.334 0.519
O14 0.498 0.398 0.730



Record 6
A plane-wave DFT calculation with meta-GGA SCAN was carried out for a crystal of PrTlW2O8 relaxed with PBEsol.

Calculated values
DOS at the Fermi energy, states/eV/f.u.: 0.0
E_form (uncorrected), eV/atom: -2.523
DFT total energy, hartree per atom: -1.02649

Cell: 10.863 10.728 7.550 Å, 90.00 130.54 90.00°
Space group C2/c (No. 15)
Asymmetric unit:
Pr1 0.000 0.227 0.250
Tl1 0.000 0.213 0.750
W1 0.194 0.498 0.231
O1 0.024 0.394 0.478
O2 0.130 0.078 0.184
O3 0.188 0.433 0.945
O4 0.233 0.158 0.636



Record 7
A plane-wave DFT calculation with meta-GGA SCAN was carried out for a crystal of PrVO4 relaxed with PBEsol.

Calculated values
DOS at the Fermi energy, states/eV/f.u.: 0.0
E_form (uncorrected), eV/atom: -3.248
DFT total energy, hartree per atom: -0.64450

Cell: 6.619 7.194 8.268 Å, 90.00 125.69 90.00°
Space group P2_1/c (No. 14)
Asymmetric unit:
Pr1 0.176 0.154 0.277
V1 0.315 0.664 0.200
O1 0.112 0.653 0.612
O2 0.177 0.004 0.753
O3 0.349 0.604 0.018
O4 0.384 0.220 0.114



Record 8
A plane-wave DFT calculation with meta-GGA SCAN was carried out for a crystal of PrVO4 relaxed with PBEsol.

Calculated values
DOS at the Fermi energy, states/eV/f.u.: 0.0
E_form (uncorrected), eV/atom: -3.270
DFT total energy, hartree per atom: -0.64530

Cell: 7.377 7.377 6.429 Å, 90.00 90.00 90.00°
Space group I4_1/amd (No. 141, origin choice 2)
Asymmetric unit:
Pr1 0.000 0.250 0.375
V1 0.000 0.250 0.875
O1 0.000 0.071 0.706